No. 1
HoSc5Se6 after structural relaxation. Source: Alexandria via LeMat-Bulk, functional PBE-GGA.

Lattice parameters (Å, degrees): 6.746 11.732 6.775 90.00 109.43 90.00
Space group C2/m (No. 12)
Inequivalent atoms, fractional coordinates:
Ho (0.000, 0.000, 0.000) x2
Sc (0.000, 0.160, 0.500) x4
Sc (0.000, 0.334, 0.000) x4
Sc (0.000, 0.500, 0.500) x2
Se (0.242, 0.500, 0.252) x4
Se (0.244, 0.329, 0.744) x8

## Properties
- Energy: -6.37 eV/atom

=====

No. 2
CuW5 after structural relaxation. Source: Alexandria via LeMat-Bulk, functional PBE-GGA.

Lattice parameters (Å, degrees): 2.682 2.682 13.154 90.00 90.00 90.00
Space group P4/mmm (No. 123)
Inequivalent atoms, fractional coordinates:
Cu (0.000, 0.000, 0.000) x1
W (0.000, 0.000, 0.325) x2
W (0.500, 0.500, 0.150) x2
W (0.500, 0.500, 0.500) x1

## Properties
- Energy relative to the lowest polymorph listed for this composition: 0.000 eV per atom

=====

No. 3
KScCo after structural relaxation. Source: Alexandria via LeMat-Bulk, functional PBE-GGA.

Lattice parameters (Å, degrees): 6.786 6.786 6.786 90.00 90.00 90.00
Space group F-43m (No. 216)
Inequivalent atoms, fractional coordinates:
K (0.000, 0.000, 0.000) x4
Sc (0.250, 0.250, 0.750) x4
Co (0.250, 0.250, 0.250) x4

## Properties
- Energy relative to the lowest polymorph listed for this composition: 1.331 eV per atom

=====

No. 4
Ba2In4Pd3Au after structural relaxation. Source: Alexandria via LeMat-Bulk, functional PBE-GGA.

Lattice parameters (Å, degrees): 4.917 4.917 10.700 90.00 90.00 90.00
Space group P-4m2 (No. 115)
Inequivalent atoms, fractional coordinates:
Ba (0.000, 0.500, 0.240) x2
In (0.000, 0.000, 0.500) x1
In (0.000, 0.500, 0.877) x2
In (0.500, 0.500, 0.500) x1
Pd (0.000, 0.000, 0.000) x1
Pd (0.000, 0.500, 0.622) x2
Au (0.500, 0.500, 0.000) x1

## Properties
- Energy: -3.94 eV/atom

=====

No. 5
Ba4AlCl after structural relaxation. Source: Alexandria via LeMat-Bulk, functional PBE-GGA.

Lattice parameters (Å, degrees): 10.371 10.371 10.371 90.00 90.00 90.00
Space group F-43m (No. 216)
Inequivalent atoms, fractional coordinates:
Ba (0.124, 0.124, 0.376) x16
Al (0.250, 0.250, 0.750) x4
Cl (0.000, 0.000, 0.000) x4

## Properties
- Energy: -2.02 eV/atom

=====

No. 6
AcNd2Co after structural relaxation. Source: Alexandria via LeMat-Bulk, functional PBE-GGA.

Lattice parameters (Å, degrees): 7.250 10.135 6.608 90.00 90.00 90.00
Space group Pnma (No. 62)
Inequivalent atoms, fractional coordinates:
Ac (0.049, 0.250, 0.145) x4
Nd (0.166, 0.073, 0.674) x8
Co (0.117, 0.750, 0.420) x4

## Properties
- Energy relative to the lowest polymorph listed for this composition: 0.000 eV per atom

=====

No. 7
AlAg2Te after structural relaxation. Source: Alexandria via LeMat-Bulk, functional PBE-GGA.

Lattice parameters (Å, degrees): 3.062 3.062 9.145 90.00 90.00 90.00
Space group P4/mmm (No. 123)
Inequivalent atoms, fractional coordinates:
Al (0.000, 0.000, 0.000) x1
Ag (0.500, 0.500, 0.192) x2
Te (0.000, 0.000, 0.500) x1

## Properties
- Energy relative to the lowest polymorph listed for this composition: 0.078 eV per atom

=====

No. 8
AcPr6Al after structural relaxation. Source: Alexandria via LeMat-Bulk, functional PBE-GGA.

Lattice parameters (Å, degrees): 5.089 5.089 10.504 90.00 90.00 90.00
Space group P4/mmm (No. 123)
Inequivalent atoms, fractional coordinates:
Ac (0.000, 0.000, 0.000) x1
Pr (0.000, 0.500, 0.269) x4
Pr (0.500, 0.500, 0.000) x1
Pr (0.500, 0.500, 0.500) x1
Al (0.000, 0.000, 0.500) x1

## Properties
- Energy: -4.61 eV/atom

=====

Which formula does entry 5 have? Ba4AlCl